1.
The following is a DFT calculation (PBE) of a relaxed TlIr2 crystal.

Cell and atoms, written as CIF:
```
data_TlIr2
_symmetry_space_group_name_H-M 'P 63/m m c'
_symmetry_Int_Tables_number 194
_symmetry_space_group_name_Hall '-P 6c 2c'
_cell_length_a 4.6451
_cell_length_b 4.6451
_cell_length_c 5.5396
_cell_angle_alpha 90.00
_cell_angle_beta 90.00
_cell_angle_gamma 120.00
loop_
_atom_site_label
_atom_site_type_symbol
_atom_site_fract_x
_atom_site_fract_y
_atom_site_fract_z
Tl1 Tl 0.3333 0.6667 0.2500
Ir1 Ir 0.0000 0.0000 0.0000
Ir2 Ir 0.3333 0.6667 0.7500
```

Output
M_tot, μB/cell: 0.00
Crystal system: hexagonal

=====

2.
The following is a DFT calculation (PBE) of a relaxed TlIr2 crystal.

Cell and atoms, written as CIF:
```
data_TlIr2
_symmetry_space_group_name_H-M 'I 4/m c m'
_symmetry_Int_Tables_number 140
_symmetry_space_group_name_Hall '-I 4 2c'
_cell_length_a 5.146
_cell_length_b 5.146
_cell_length_c 8.779
_cell_angle_alpha 90.00
_cell_angle_beta 90.00
_cell_angle_gamma 90.00
loop_
_atom_site_label
_atom_site_type_symbol
_atom_site_fract_x
_atom_site_fract_y
_atom_site_fract_z
Tl1 Tl 0.000 0.000 0.250
Ir1 Ir 0.182 0.318 0.000
```

Output
M_tot, μB/cell: 0.00
Crystal system: tetragonal

=====

Number 1: ΔH_f (0 K) 0.73 eV/atom. Number 2: ΔH_f (0 K) 0.50 eV/atom.